# 1
Compound: BaMo2Pb
Source: the Alexandria database
Functional: PBE
Structure: optimized geometry

Cell lengths 5.885, 5.885, 2.943 Å; angles 90.00, 90.00, 113.27 degrees
Atoms (fractional coordinates):
Ba  0.000  0.500  0.500
Pb  0.500  0.000  0.500
Mo  0.500  0.500  0.000
Mo  0.000  0.000  0.000

Results
As for the formation energy: 1365 meV per atom. The total energy comes out at -5.46 eV per atom. As for the calculated volume: 23.41 Å³/atom. The space group is Cmmm, No. 65. The size of the total moment comes out at 0.00 μB/cell.

***

# 2
Compound: LiBe2Re
Source: the Alexandria database
Functional: PBE
Structure: optimized geometry

Cell lengths 3.910, 3.910, 3.910 Å; angles 60.00, 60.00, 60.00 degrees
Atoms (fractional coordinates):
Li  0.500  0.500  0.500
Be  0.000  0.000  0.000
Be  0.250  0.250  0.250
Re  0.750  0.750  0.750

Results
As for the formation energy: 441 meV per atom. The total energy comes out at -5.01 eV per atom. As for the calculated volume: 10.56 Å³/atom. The space group is F-43m, No. 216. The size of the total moment comes out at 1.08 μB/cell.

***

# 3
Compound: MgSiIrC2
Source: the Alexandria database
Functional: PBE
Structure: optimized geometry

Cell lengths 3.886, 5.497, 3.886 Å; angles 90.00, 90.00, 90.00 degrees
Atoms (fractional coordinates):
Ir  0.000  0.000  0.000
C  0.000  0.000  0.500
C  0.500  0.000  0.000
Si  0.000  0.500  0.000
Mg  0.500  0.500  0.500

Results
The total energy comes out at -5.64 eV per atom. As for the calculated volume: 16.60 Å³/atom. The space group is P4/mmm, No. 123. The size of the total moment comes out at 0.20 μB/cell.